[1]
Computed, not measured: a crystal of SrRe2Ni relaxed with PBEsol at the SCAN level of DFT.

Results
- SG: No. 123
- Final energy: -177.54 eV/f.u.
- Volume: 17.8 Å³ per atom
- D(E_F): 0.759 states/eV per atom
- Formation energy: 0.776 eV/atom
- Spin magnetization: 0.000 μB per atom

Geometry as POSCAR:
```
SrRe2Ni
1.0
3.118 0.000 0.000
0.000 3.118 0.000
0.000 0.000 7.335
Sr Re Ni
1 2 1
direct
0.000 0.000 0.000
0.500 0.500 0.337
0.500 0.500 0.663
0.000 0.000 0.500
```

[2]
Computed, not measured: a crystal of NiOsN2F relaxed with PBEsol at the SCAN level of DFT.

Results
- SG: No. 123
- Final energy: -106.89 eV/f.u.
- Formation energy without anion corrections: 63.3 kJ/mol of atoms
- Volume: 11.7 Å³ per atom
- D(E_F): 1.089 states/eV per atom
- Spin magnetization: 0.267 μB per atom

Geometry as POSCAR:
```
NiOsN2F
1.0
3.784 0.000 0.000
0.000 3.784 0.000
0.000 0.000 4.102
Ni Os N F
1 1 2 1
direct
0.000 0.000 0.000
0.500 0.500 0.500
0.000 0.500 0.500
0.500 0.000 0.500
0.500 0.500 0.000
```

[3]
Computed, not measured: a crystal of Na3CrSiBO7 relaxed with PBEsol at the SCAN level of DFT.

Results
- SG: No. 11
- Final energy: -123.79 eV/f.u.
- Formation energy without anion corrections: -235.3 kJ/mol of atoms
- Volume: 11.4 Å³ per atom
- Spin magnetization: 0.154 μB per atom

Geometry as POSCAR:
```
Na3CrSiBO7
1.0
5.248 0.000 0.000
0.000 6.403 0.000
-0.338 0.000 8.828
Na Cr Si B O
6 2 2 2 14
direct
0.236 0.250 0.079
0.253 0.506 0.738
0.253 0.994 0.738
0.747 0.006 0.262
0.747 0.494 0.262
0.764 0.750 0.921
0.218 0.750 0.331
0.782 0.250 0.669
0.278 0.250 0.428
0.722 0.750 0.572
0.277 0.750 0.065
0.723 0.250 0.935
0.039 0.750 0.133
0.095 0.250 0.572
0.220 0.048 0.319
0.220 0.452 0.319
0.313 0.750 0.916
0.420 0.750 0.515
0.472 0.750 0.179
0.528 0.250 0.821
0.580 0.250 0.485
0.687 0.250 0.084
0.780 0.548 0.681
0.780 0.952 0.681
0.905 0.750 0.428
0.961 0.250 0.867
```

[4]
Computed, not measured: a crystal of Hf3TiV8 relaxed with PBEsol at the SCAN level of DFT.

Results
- SG: No. 160
- Final energy: -343.25 eV/f.u.
- Volume: 15.3 Å³ per atom
- D(E_F): 2.208 states/eV per atom
- Formation energy: 0.059 eV/atom
- Spin magnetization: 0.000 μB per atom

Geometry as POSCAR:
```
Hf3TiV8
1.0
2.532 1.462 8.275
-2.532 1.462 8.275
0.000 -2.924 8.275
Hf Ti V
3 1 8
direct
0.000 0.000 0.000
0.126 0.126 0.126
0.623 0.623 0.623
0.499 0.499 0.499
0.061 0.061 0.558
0.061 0.558 0.061
0.067 0.563 0.563
0.311 0.311 0.311
0.558 0.061 0.061
0.563 0.067 0.563
0.563 0.563 0.067
0.813 0.813 0.813
```

[5]
Computed, not measured: a crystal of SrMgRe relaxed with PBEsol at the SCAN level of DFT.

Results
- SG: No. 44
- Final energy: -96.02 eV/f.u.
- Volume: 21.9 Å³ per atom
- D(E_F): 0.645 states/eV per atom
- Formation energy: 0.775 eV/atom
- Spin magnetization: 0.000 μB per atom

Geometry as POSCAR:
```
SrMgRe
1.0
2.843 0.000 0.000
0.000 4.357 0.000
0.000 0.000 10.589
Sr Mg Re
2 2 2
direct
0.000 0.000 0.000
0.500 0.500 0.500
0.000 0.000 0.711
0.500 0.500 0.211
0.000 0.000 0.310
0.500 0.500 0.810
```

[6]
Computed, not measured: a crystal of ScTlC3 relaxed with PBEsol at the SCAN level of DFT.

Results
- SG: No. 221
- Final energy: -102.69 eV/f.u.
- Volume: 15.5 Å³ per atom
- D(E_F): 0.832 states/eV per atom
- Formation energy: 2.842 eV/atom
- Spin magnetization: 0.000 μB per atom

Geometry as POSCAR:
```
ScTlC3
1.0
4.264 0.000 0.000
0.000 4.264 0.000
0.000 0.000 4.264
Sc Tl C
1 1 3
direct
0.000 0.000 0.000
0.500 0.500 0.500
0.000 0.500 0.500
0.500 0.000 0.500
0.500 0.500 0.000
```

[7]
Computed, not measured: a crystal of Zn2In2Os relaxed with PBEsol at the SCAN level of DFT.

Results
- SG: No. 139
- Final energy: -163.51 eV/f.u.
- Volume: 17.8 Å³ per atom
- D(E_F): 0.331 states/eV per atom
- Formation energy: 0.436 eV/atom
- Spin magnetization: 0.000 μB per atom

Geometry as POSCAR:
```
Zn2In2Os
1.0
3.344 0.000 0.000
0.000 3.344 0.000
0.000 0.000 15.959
Zn In Os
4 4 2
direct
0.000 0.500 0.250
0.000 0.500 0.750
0.500 0.000 0.250
0.500 0.000 0.750
0.000 0.000 0.096
0.000 0.000 0.904
0.500 0.500 0.404
0.500 0.500 0.596
0.000 0.000 0.500
0.500 0.500 0.000
```

[8]
Computed, not measured: a crystal of Re2AgSb relaxed with PBEsol at the SCAN level of DFT.

Results
- SG: No. 160
- Final energy: -208.90 eV/f.u.
- Formation energy without anion corrections: 46.4 kJ/mol of atoms
- Volume: 17.2 Å³ per atom
- D(E_F): 0.627 states/eV per atom
- Spin magnetization: 0.000 μB per atom

Geometry as POSCAR:
```
Re2AgSb
1.0
2.908 0.000 0.000
-1.454 2.519 0.000
0.000 0.000 28.180
Re Ag Sb
6 3 3
direct
0.000 0.000 0.000
0.000 0.000 0.263
0.333 0.667 0.667
0.333 0.667 0.929
0.667 0.333 0.333
0.667 0.333 0.596
0.000 0.000 0.512
0.333 0.667 0.179
0.667 0.333 0.845
0.000 0.000 0.751
0.333 0.667 0.417
0.667 0.333 0.084
```

[9]
Computed, not measured: a crystal of NaAg2Mo relaxed with PBEsol at the SCAN level of DFT.

Results
- SG: No. 225
- Final energy: -98.86 eV/f.u.
- Volume: 17.8 Å³ per atom
- D(E_F): 0.561 states/eV per atom
- Formation energy: 0.742 eV/atom
- Spin magnetization: 0.858 μB per atom

Geometry as POSCAR:
```
NaAg2Mo
1.0
6.581 0.000 0.000
0.000 6.581 0.000
0.000 0.000 6.581
Na Ag Mo
4 8 4
direct
0.000 0.000 0.000
0.000 0.500 0.500
0.500 0.000 0.500
0.500 0.500 0.000
0.250 0.250 0.250
0.250 0.250 0.750
0.250 0.750 0.250
0.250 0.750 0.750
0.750 0.250 0.250
0.750 0.250 0.750
0.750 0.750 0.250
0.750 0.750 0.750
0.000 0.000 0.500
0.000 0.500 0.000
0.500 0.000 0.000
0.500 0.500 0.500
```

[10]
Computed, not measured: a crystal of CuP4Se3I relaxed with PBEsol at the SCAN level of DFT.

Results
- SG: No. 64
- Final energy: -154.81 eV/f.u.
- Formation energy without anion corrections: -11.1 kJ/mol of atoms
- Volume: 25.0 Å³ per atom
- Spin magnetization: 0.000 μB per atom

Geometry as POSCAR:
```
CuP4Se3I
1.0
3.825 -11.054 0.000
3.825 11.054 0.000
0.000 0.000 10.622
Cu P Se I
4 16 12 4
direct
0.190 0.190 0.000
0.310 0.310 0.500
0.690 0.690 0.500
0.810 0.810 0.000
0.064 0.227 0.457
0.117 0.883 0.713
0.224 0.776 0.466
0.227 0.064 0.543
0.273 0.436 0.043
0.276 0.724 0.966
0.383 0.617 0.213
0.436 0.273 0.957
0.564 0.727 0.043
0.617 0.383 0.787
0.724 0.276 0.034
0.727 0.564 0.957
0.773 0.936 0.457
0.776 0.224 0.534
0.883 0.117 0.287
0.936 0.773 0.543
0.065 0.386 0.576
0.114 0.435 0.924
0.218 0.782 0.681
0.282 0.718 0.181
0.386 0.065 0.424
0.435 0.114 0.076
0.565 0.886 0.924
0.614 0.935 0.576
0.718 0.282 0.819
0.782 0.218 0.319
0.886 0.565 0.076
0.935 0.614 0.424
0.033 0.967 0.190
0.467 0.533 0.690
0.533 0.467 0.310
0.967 0.033 0.810
```

[11]
Computed, not measured: a crystal of YNi3Ir relaxed with PBEsol at the SCAN level of DFT.

Results
- SG: No. 221
- Final energy: -145.57 eV/f.u.
- Volume: 18.1 Å³ per atom
- D(E_F): 0.734 states/eV per atom
- Formation energy: 0.379 eV/atom
- Spin magnetization: 0.569 μB per atom

Geometry as POSCAR:
```
YNi3Ir
1.0
4.491 0.000 0.000
0.000 4.491 0.000
0.000 0.000 4.491
Y Ni Ir
1 3 1
direct
0.000 0.000 0.000
0.000 0.500 0.500
0.500 0.000 0.500
0.500 0.500 0.000
0.500 0.500 0.500
```

[12]
Computed, not measured: a crystal of FeNi3H relaxed with PBEsol at the SCAN level of DFT.

Results
- SG: No. 221
- Final energy: -70.52 eV/f.u.
- Volume: 9.0 Å³ per atom
- D(E_F): 0.343 states/eV per atom
- Spin magnetization: 0.982 μB per atom

Geometry as POSCAR:
```
FeNi3H
1.0
3.551 0.000 0.000
0.000 3.551 0.000
0.000 0.000 3.551
Fe Ni H
1 3 1
direct
0.000 0.000 0.000
0.000 0.500 0.500
0.500 0.000 0.500
0.500 0.500 0.000
0.500 0.500 0.500
```

[13]
Computed, not measured: a crystal of Zn2PW relaxed with PBEsol at the SCAN level of DFT.

Results
- SG: No. 119
- Final energy: -105.87 eV/f.u.
- Volume: 13.7 Å³ per atom
- D(E_F): 0.712 states/eV per atom
- Formation energy: 0.312 eV/atom
- Spin magnetization: 0.000 μB per atom

Geometry as POSCAR:
```
Zn2PW
1.0
3.715 0.000 0.000
0.000 3.715 0.000
0.000 0.000 7.947
Zn P W
4 2 2
direct
0.000 0.000 0.000
0.000 0.500 0.250
0.500 0.000 0.750
0.500 0.500 0.500
0.000 0.000 0.500
0.500 0.500 0.000
0.000 0.500 0.750
0.500 0.000 0.250
```

[14]
Computed, not measured: a crystal of RuRhSe relaxed with PBEsol at the SCAN level of DFT.

Results
- SG: No. 216
- Final energy: -88.11 eV/f.u.
- Formation energy without anion corrections: 18.1 kJ/mol of atoms
- Volume: 16.5 Å³ per atom
- D(E_F): 0.873 states/eV per atom
- Spin magnetization: 0.000 μB per atom

Geometry as POSCAR:
```
RuRhSe
1.0
5.830 0.000 0.000
0.000 5.830 0.000
0.000 0.000 5.830
Ru Rh Se
4 4 4
direct
0.000 0.000 0.000
0.000 0.500 0.500
0.500 0.000 0.500
0.500 0.500 0.000
0.250 0.250 0.250
0.250 0.750 0.750
0.750 0.250 0.750
0.750 0.750 0.250
0.250 0.250 0.750
0.250 0.750 0.250
0.750 0.250 0.250
0.750 0.750 0.750
```

[15]
Computed, not measured: a crystal of KBaIr relaxed with PBEsol at the SCAN level of DFT.

Results
- SG: No. 156
- Final energy: -117.72 eV/f.u.
- Volume: 35.1 Å³ per atom
- D(E_F): 0.887 states/eV per atom
- Formation energy: 0.419 eV/atom
- Spin magnetization: 0.000 μB per atom

Geometry as POSCAR:
```
KBaIr
1.0
4.765 0.000 0.000
-2.383 4.127 0.000
0.000 0.000 5.353
K Ba Ir
1 1 1
direct
0.000 0.000 0.000
0.333 0.667 0.506
0.667 0.333 0.338
```

[16]
Computed, not measured: a crystal of ZrAs2WBr relaxed with PBEsol at the SCAN level of DFT.

Results
- SG: No. 123
- Final energy: -156.84 eV/f.u.
- Formation energy without anion corrections: 65.4 kJ/mol of atoms
- Volume: 23.1 Å³ per atom
- D(E_F): 0.921 states/eV per atom
- Spin magnetization: 0.525 μB per atom

Geometry as POSCAR:
```
ZrAs2WBr
1.0
4.818 0.000 0.000
0.000 4.818 0.000
0.000 0.000 4.966
Zr As W Br
1 2 1 1
direct
0.000 0.000 0.000
0.000 0.500 0.500
0.500 0.000 0.500
0.500 0.500 0.500
0.500 0.500 0.000
```

[17]
Computed, not measured: a crystal of NaSiHg2 relaxed with PBEsol at the SCAN level of DFT.

Results
- SG: No. 122
- Final energy: -149.92 eV/f.u.
- Formation energy without anion corrections: 15.5 kJ/mol of atoms
- Volume: 25.8 Å³ per atom
- D(E_F): 0.385 states/eV per atom
- Spin magnetization: 0.000 μB per atom

Geometry as POSCAR:
```
NaSiHg2
1.0
4.915 0.000 0.000
0.000 4.915 0.000
0.000 0.000 17.058
Na Si Hg
4 4 8
direct
0.000 0.000 0.000
0.000 0.500 0.250
0.500 0.000 0.750
0.500 0.500 0.500
0.000 0.000 0.500
0.000 0.500 0.750
0.500 0.000 0.250
0.500 0.500 0.000
0.165 0.250 0.625
0.250 0.665 0.875
0.250 0.835 0.375
0.335 0.250 0.125
0.665 0.750 0.125
0.750 0.165 0.375
0.750 0.335 0.875
0.835 0.750 0.625
```

[18]
Computed, not measured: a crystal of BeHO3 relaxed with PBEsol at the SCAN level of DFT.

Results
- SG: No. 221
- Final energy: -25.69 eV/f.u.
- Volume: 7.9 Å³ per atom
- D(E_F): 0.288 states/eV per atom
- Spin magnetization: 0.600 μB per atom

Geometry as POSCAR:
```
BeHO3
1.0
3.412 0.000 0.000
0.000 3.412 0.000
0.000 0.000 3.412
Be H O
1 1 3
direct
0.000 0.000 0.000
0.500 0.500 0.500
0.000 0.000 0.500
0.000 0.500 0.000
0.500 0.000 0.000
```

[19]
Computed, not measured: a crystal of K2CdSb2 relaxed with PBEsol at the SCAN level of DFT.

Results
- SG: No. 123
- Final energy: -120.56 eV/f.u.
- Formation energy without anion corrections: 19.9 kJ/mol of atoms
- Volume: 36.4 Å³ per atom
- D(E_F): 0.541 states/eV per atom
- Spin magnetization: 0.001 μB per atom

Geometry as POSCAR:
```
K2CdSb2
1.0
3.352 0.000 0.000
0.000 3.352 0.000
0.000 0.000 16.204
K Cd Sb
2 1 2
direct
0.000 0.000 0.126
0.000 0.000 0.874
0.000 0.000 0.500
0.000 0.000 0.330
0.000 0.000 0.670
```

[20]
Computed, not measured: a crystal of Zn2TcO2 relaxed with PBEsol at the SCAN level of DFT.

Results
- SG: No. 139
- Final energy: -75.81 eV/f.u.
- Formation energy without anion corrections: -24.3 kJ/mol of atoms
- Volume: 11.8 Å³ per atom
- D(E_F): 0.367 states/eV per atom
- Spin magnetization: 0.859 μB per atom

Geometry as POSCAR:
```
Zn2TcO2
1.0
3.734 0.000 0.000
0.000 3.734 0.000
0.000 0.000 8.481
Zn Tc O
4 2 4
direct
0.000 0.000 0.146
0.000 0.000 0.854
0.500 0.500 0.354
0.500 0.500 0.646
0.000 0.000 0.500
0.500 0.500 0.000
0.000 0.500 0.250
0.000 0.500 0.750
0.500 0.000 0.250
0.500 0.000 0.750
```